A geometry-optimized K2TmCoO4 structure. Source: the Alexandria database, functional PBE+U.

For the total magnetic moment, the calculation gives 0.50 μB/atom. As for the total DFT energy (no corrections): -5.60 eV/atom. Its space group is No. 70.

Unit cell a=5.6296 b=6.8729 c=11.3019 alpha=84.15 beta=75.58 gamma=65.82
Element x y z (fractional)
O1 0.2160 0.1880 0.9281
O2 0.4179 0.6880 0.4281
O3 0.8559 0.8120 0.9281
O4 0.5340 0.3120 0.5719
O5 0.5960 0.1880 0.0719
O6 0.8941 0.6880 0.5719
O7 0.3321 0.8120 0.0719
O8 0.1540 0.3120 0.4281
Tm1 0.0000 0.0000 0.0000
Tm2 0.7500 0.5000 0.5000
Co1 0.5000 0.0000 0.0000
Co2 0.2500 0.5000 0.5000
K1 0.8042 0.0000 0.3916
K2 0.1958 0.0000 0.6084
K3 0.5542 0.5000 0.8916
K4 0.9458 0.5000 0.1084